The following is a GGA-PBE calculation of an optimized crystal structure of MnCd2Hg, from Alexandria via LeMat-Bulk.

The structure belongs to space group Cm (No. 8); the cell edges are 9.730, 3.168 and 5.431 Å and the angles 90.00°, 101.98° and 90.00°. The asymmetric unit holds Mn at (0.000, 0.000, 0.000), Cd at (0.000, 0.500, 0.503), Cd at (0.257, 0.000, 0.755) and Hg at (0.242, 0.500, 0.227).

Its raw total energy is -2.61 eV per atom. The calculation puts the energy of formation from the pure elements at 0.84 eV per formula unit. The calculation puts the magnetization at 3.89 μB/f.u. The density of states at the Fermi level comes out at 3.944 states/eV per cell.